# 1
SrOsPt2 | PBE | optimized geometry

The structure in CIF format:
```
data_SrOsPt2
_symmetry_space_group_name_H-M 'C 1 2/m 1'
_symmetry_Int_Tables_number 12
_symmetry_space_group_name_Hall '-C 2y'
_cell_length_a 8.7230
_cell_length_b 2.8333
_cell_length_c 6.5108
_cell_angle_alpha 90.00
_cell_angle_beta 97.37
_cell_angle_gamma 90.00
loop_
_atom_site_label
_atom_site_fract_x
_atom_site_fract_y
_atom_site_fract_z
Sr1 0.0000 0.0000 0.0000
Os1 0.0000 0.5000 0.5000
Pt1 0.2433 0.0000 0.6812
```

Calculated values
E above lowest polymorph = 144.6 meV per atom
Calculated formation energy = 17.0 kJ/mol of atoms
DOS at the Fermi energy = 0.87 states/eV/atom
Total energy = -6.07 eV per atom

=====

# 2
Na2Ga6Ir | PBE | optimized geometry

The structure in CIF format:
```
data_Na2Ga6Ir
_symmetry_space_group_name_H-M 'P -3 m 1'
_symmetry_Int_Tables_number 164
_symmetry_space_group_name_Hall '-P 3 2"'
_cell_length_a 5.6699
_cell_length_b 5.6699
_cell_length_c 6.1105
_cell_angle_alpha 90.00
_cell_angle_beta 90.00
_cell_angle_gamma 120.00
loop_
_atom_site_label
_atom_site_fract_x
_atom_site_fract_y
_atom_site_fract_z
Na1 0.3333 0.6667 0.1143
Ga1 0.1698 0.3396 0.6794
Ir1 0.0000 0.0000 0.0000
```

Calculated values
Calculated formation energy = -18.8 kJ/mol of atoms
DOS at the Fermi energy = 0.44 states/eV/atom
Total energy = -3.49 eV per atom

=====

# 3
LiCeGaSn | PBE | optimized geometry

The structure in CIF format:
```
data_LiCeGaSn
_symmetry_space_group_name_H-M 'F -4 3 m'
_symmetry_Int_Tables_number 216
_symmetry_space_group_name_Hall 'F -4 2 3'
_cell_length_a 7.1722
_cell_length_b 7.1722
_cell_length_c 7.1722
_cell_angle_alpha 90.00
_cell_angle_beta 90.00
_cell_angle_gamma 90.00
loop_
_atom_site_label
_atom_site_fract_x
_atom_site_fract_y
_atom_site_fract_z
Li1 0.0000 0.0000 0.0000
Ce1 0.0000 0.0000 0.5000
Ga1 0.2500 0.2500 0.7500
Sn1 0.2500 0.2500 0.2500
```

Calculated values
Calculated formation energy = -40.1 kJ/mol of atoms
DOS at the Fermi energy = 1.36 states/eV/atom
Total energy = -4.14 eV per atom

=====

# 4
ZrAg2W | PBE | optimized geometry

The structure in CIF format:
```
data_ZrAg2W
_symmetry_space_group_name_H-M 'P m m 2'
_symmetry_Int_Tables_number 25
_symmetry_space_group_name_Hall 'P 2 -2'
_cell_length_a 3.0773
_cell_length_b 3.8523
_cell_length_c 6.2194
_cell_angle_alpha 90.00
_cell_angle_beta 90.00
_cell_angle_gamma 90.00
loop_
_atom_site_label
_atom_site_fract_x
_atom_site_fract_y
_atom_site_fract_z
Zr1 0.0000 0.0000 0.0000
Ag1 0.0000 0.0000 0.5074
Ag2 0.5000 0.5000 0.2738
W1 0.5000 0.5000 0.7526
```

Calculated values
Calculated formation energy = 32.1 kJ/mol of atoms
DOS at the Fermi energy = 0.66 states/eV/atom
Total energy = -6.47 eV per atom

=====

# 5
CsMgTa2Cr | PBE | optimized geometry

The structure in CIF format:
```
data_CsMgTa2Cr
_symmetry_space_group_name_H-M 'P 4/m m m'
_symmetry_Int_Tables_number 123
_symmetry_space_group_name_Hall '-P 4 2'
_cell_length_a 5.1026
_cell_length_b 5.1026
_cell_length_c 4.7551
_cell_angle_alpha 90.00
_cell_angle_beta 90.00
_cell_angle_gamma 90.00
loop_
_atom_site_label
_atom_site_fract_x
_atom_site_fract_y
_atom_site_fract_z
Cs1 0.0000 0.0000 0.0000
Mg1 0.5000 0.5000 0.5000
Ta1 0.0000 0.5000 0.5000
Cr1 0.5000 0.5000 0.0000
```

Calculated values
Calculated formation energy = 244.4 kJ/mol of atoms
DOS at the Fermi energy = 1.45 states/eV/atom
Total energy = -4.62 eV per atom

=====

# 6
SrY3Sc | PBE | optimized geometry

The structure in CIF format:
```
data_SrY3Sc
_symmetry_space_group_name_H-M 'P m -3 m'
_symmetry_Int_Tables_number 221
_symmetry_space_group_name_Hall '-P 4 2 3'
_cell_length_a 5.6211
_cell_length_b 5.6211
_cell_length_c 5.6211
_cell_angle_alpha 90.00
_cell_angle_beta 90.00
_cell_angle_gamma 90.00
loop_
_atom_site_label
_atom_site_fract_x
_atom_site_fract_y
_atom_site_fract_z
Sr1 0.0000 0.0000 0.0000
Y1 0.0000 0.0000 0.5000
Sc1 0.5000 0.5000 0.5000
```

Calculated values
E above lowest polymorph = 679.0 meV per atom
Calculated formation energy = 108.3 kJ/mol of atoms
DOS at the Fermi energy = 1.00 states/eV/atom
Total energy = -4.36 eV per atom

=====

# 7
Zn3HgP | PBE | optimized geometry

The structure in CIF format:
```
data_Zn3HgP
_symmetry_space_group_name_H-M 'P m -3 m'
_symmetry_Int_Tables_number 221
_symmetry_space_group_name_Hall '-P 4 2 3'
_cell_length_a 4.9578
_cell_length_b 4.9578
_cell_length_c 4.9578
_cell_angle_alpha 90.00
_cell_angle_beta 90.00
_cell_angle_gamma 90.00
loop_
_atom_site_label
_atom_site_fract_x
_atom_site_fract_y
_atom_site_fract_z
Zn1 0.0000 0.0000 0.5000
Hg1 0.0000 0.0000 0.0000
P1 0.5000 0.5000 0.5000
```

Calculated values
E above lowest polymorph = 558.5 meV per atom
Calculated formation energy = 78.3 kJ/mol of atoms
DOS at the Fermi energy = 0.75 states/eV/atom
Total energy = -1.10 eV per atom

=====

# 8
CsCd2Hg4Bi | PBE | optimized geometry

The structure in CIF format:
```
data_CsCd2Hg4Bi
_symmetry_space_group_name_H-M 'P 4/m m m'
_symmetry_Int_Tables_number 123
_symmetry_space_group_name_Hall '-P 4 2'
_cell_length_a 5.4332
_cell_length_b 5.4332
_cell_length_c 9.0550
_cell_angle_alpha 90.00
_cell_angle_beta 90.00
_cell_angle_gamma 90.00
loop_
_atom_site_label
_atom_site_fract_x
_atom_site_fract_y
_atom_site_fract_z
Cs1 0.0000 0.0000 0.0000
Cd1 0.5000 0.5000 0.1686
Hg1 0.0000 0.5000 0.3123
Bi1 0.0000 0.0000 0.5000
```

Calculated values
Calculated formation energy = -8.2 kJ/mol of atoms
DOS at the Fermi energy = 0.49 states/eV/atom
Total energy = -1.06 eV per atom

=====

# 9
CsCoGe | PBE | optimized geometry

The structure in CIF format:
```
data_CsCoGe
_symmetry_space_group_name_H-M 'P 4/n m m'
_symmetry_Int_Tables_number 129
_cell_length_a 4.0396
_cell_length_b 4.0396
_cell_length_c 12.2073
_cell_angle_alpha 90.00
_cell_angle_beta 90.00
_cell_angle_gamma 90.00
loop_
_symmetry_equiv_pos_as_xyz
'x,y,z'
'-x,-y,-z'
'-y+1/2,x,z'
'y+1/2,-x,-z'
'-x+1/2,-y+1/2,z'
'x+1/2,y+1/2,-z'
'y,-x+1/2,z'
'-y,x+1/2,-z'
'x+1/2,-y,-z'
'-x+1/2,y,z'
'-y,-x,-z'
'y,x,z'
'-x,y+1/2,-z'
'x,-y+1/2,z'
'y+1/2,x+1/2,-z'
'-y+1/2,-x+1/2,z'
loop_
_atom_site_label
_atom_site_fract_x
_atom_site_fract_y
_atom_site_fract_z
Cs1 0.2500 0.2500 0.2214
Co1 0.2500 0.7500 0.5000
Ge1 0.2500 0.2500 0.5958
```

Calculated values
Calculated formation energy = -5.6 kJ/mol of atoms
DOS at the Fermi energy = 0.81 states/eV/atom
Total energy = -4.25 eV per atom

=====

# 10
LiFeNi2 | PBE | optimized geometry

The structure in CIF format:
```
data_LiFeNi2
_symmetry_space_group_name_H-M 'P 4 m m'
_symmetry_Int_Tables_number 99
_symmetry_space_group_name_Hall 'P 4 -2'
_cell_length_a 2.9989
_cell_length_b 2.9989
_cell_length_c 5.1160
_cell_angle_alpha 90.00
_cell_angle_beta 90.00
_cell_angle_gamma 90.00
loop_
_atom_site_label
_atom_site_fract_x
_atom_site_fract_y
_atom_site_fract_z
Li1 0.0000 0.0000 0.0000
Fe1 0.5000 0.5000 0.7211
Ni1 0.0000 0.0000 0.4978
Ni2 0.5000 0.5000 0.2270
```

Calculated values
Calculated formation energy = 15.8 kJ/mol of atoms
DOS at the Fermi energy = 0.86 states/eV/atom
Total energy = -5.32 eV per atom

=====

# 11
PaAlPdO6 | PBE | optimized geometry

The structure in CIF format:
```
data_PaAlPdO6
_symmetry_space_group_name_H-M 'P 3 1 2'
_symmetry_Int_Tables_number 149
_symmetry_space_group_name_Hall 'P 3 2'
_cell_length_a 5.0696
_cell_length_b 5.0696
_cell_length_c 4.7770
_cell_angle_alpha 90.00
_cell_angle_beta 90.00
_cell_angle_gamma 120.00
loop_
_atom_site_label
_atom_site_fract_x
_atom_site_fract_y
_atom_site_fract_z
Pa1 0.0000 0.0000 0.0000
Al1 0.6667 0.3333 0.5000
Pd1 0.3333 0.6667 0.5000
O1 0.3578 0.0152 0.7260
```

Calculated values
Total energy = -7.68 eV per atom

=====

# 12
LaSiSb4 | PBE | optimized geometry

The structure in CIF format:
```
data_LaSiSb4
_symmetry_space_group_name_H-M 'F -4 3 m'
_symmetry_Int_Tables_number 216
_symmetry_space_group_name_Hall 'F -4 2 3'
_cell_length_a 8.7716
_cell_length_b 8.7716
_cell_length_c 8.7716
_cell_angle_alpha 90.00
_cell_angle_beta 90.00
_cell_angle_gamma 90.00
loop_
_atom_site_label
_atom_site_fract_x
_atom_site_fract_y
_atom_site_fract_z
La1 0.0000 0.0000 0.0000
Si1 0.2500 0.2500 0.2500
Sb1 0.1244 0.1244 0.6244
```

Calculated values
DOS at the Fermi energy = 0.79 states/eV/atom
Total energy = -4.40 eV per atom

=====

# 13
NdHoSc3 | PBE | optimized geometry

The structure in CIF format:
```
data_NdHoSc3
_symmetry_space_group_name_H-M 'P -1'
_symmetry_Int_Tables_number 2
_symmetry_space_group_name_Hall '-P 1'
_cell_length_a 6.1757
_cell_length_b 6.1782
_cell_length_c 8.3987
_cell_angle_alpha 75.67
_cell_angle_beta 74.36
_cell_angle_gamma 65.87
loop_
_atom_site_label
_atom_site_fract_x
_atom_site_fract_y
_atom_site_fract_z
Nd1 0.2320 0.2317 0.0023
Ho1 0.2039 0.6828 0.2256
Sc1 0.1540 0.1448 0.4083
Sc2 0.3075 0.8143 0.7583
Sc3 0.3494 0.3556 0.5968
```

Calculated values
Calculated formation energy = 4.2 kJ/mol of atoms
DOS at the Fermi energy = 1.68 states/eV/atom
Total energy = -5.62 eV per atom

=====

# 14
Fe2SiMo | PBE | optimized geometry

The structure in CIF format:
```
data_Fe2SiMo
_symmetry_space_group_name_H-M 'I 4/m m m'
_symmetry_Int_Tables_number 139
_symmetry_space_group_name_Hall '-I 4 2'
_cell_length_a 3.8209
_cell_length_b 3.8209
_cell_length_c 6.5858
_cell_angle_alpha 90.00
_cell_angle_beta 90.00
_cell_angle_gamma 90.00
loop_
_atom_site_label
_atom_site_fract_x
_atom_site_fract_y
_atom_site_fract_z
Fe1 0.0000 0.5000 0.2500
Si1 0.0000 0.0000 0.0000
Mo1 0.0000 0.0000 0.5000
```

Calculated values
DOS at the Fermi energy = 0.71 states/eV/atom
Total energy = -8.46 eV per atom

=====

# 15
ZrTl2Os | PBE | optimized geometry

The structure in CIF format:
```
data_ZrTl2Os
_symmetry_space_group_name_H-M 'P 4 m m'
_symmetry_Int_Tables_number 99
_symmetry_space_group_name_Hall 'P 4 -2'
_cell_length_a 3.2832
_cell_length_b 3.2832
_cell_length_c 8.5563
_cell_angle_alpha 90.00
_cell_angle_beta 90.00
_cell_angle_gamma 90.00
loop_
_atom_site_label
_atom_site_fract_x
_atom_site_fract_y
_atom_site_fract_z
Zr1 0.0000 0.0000 0.0000
Tl1 0.0000 0.0000 0.4038
Tl2 0.5000 0.5000 0.7139
Os1 0.5000 0.5000 0.1632
```

Calculated values
E above lowest polymorph = 0.0 meV per atom
Calculated formation energy = 15.4 kJ/mol of atoms
DOS at the Fermi energy = 0.39 states/eV/atom
Total energy = -5.97 eV per atom

=====

# 16
Li2SnAu5 | PBE | optimized geometry

The structure in CIF format:
```
data_Li2SnAu5
_symmetry_space_group_name_H-M 'C 1 2/m 1'
_symmetry_Int_Tables_number 12
_symmetry_space_group_name_Hall '-C 2y'
_cell_length_a 8.0151
_cell_length_b 8.3882
_cell_length_c 5.7894
_cell_angle_alpha 90.00
_cell_angle_beta 133.45
_cell_angle_gamma 90.00
loop_
_atom_site_label
_atom_site_fract_x
_atom_site_fract_y
_atom_site_fract_z
Li1 0.2500 0.2500 0.0000
Sn1 0.0000 0.0000 0.5000
Au1 0.0000 0.0000 0.0000
Au2 0.0000 0.5000 0.0000
Au3 0.0000 0.5000 0.5000
Au4 0.2500 0.2500 0.5000
```

Calculated values
Calculated formation energy = -33.9 kJ/mol of atoms
DOS at the Fermi energy = 0.32 states/eV/atom
Total energy = -3.38 eV per atom

=====

# 17
K3Tl2OsO6 | PBE | optimized geometry

The structure in CIF format:
```
data_K3Tl2OsO6
_symmetry_space_group_name_H-M 'C 1 2/m 1'
_symmetry_Int_Tables_number 12
_symmetry_space_group_name_Hall '-C 2y'
_cell_length_a 6.4351
_cell_length_b 10.9681
_cell_length_c 6.2863
_cell_angle_alpha 90.00
_cell_angle_beta 110.68
_cell_angle_gamma 90.00
loop_
_atom_site_label
_atom_site_fract_x
_atom_site_fract_y
_atom_site_fract_z
K1 0.0000 0.0000 0.0000
K2 0.0000 0.3323 0.0000
Tl1 0.0000 0.1671 0.5000
Os1 0.0000 0.5000 0.5000
O1 0.1848 0.5000 0.3139
O2 0.1891 0.3730 0.6909
```

Calculated values
DOS at the Fermi energy = 0.21 states/eV/atom
Total energy = -5.25 eV per atom